A relaxed PtBr2 crystal. Source: Alexandria, functional PBE.

The structure in extended XYZ format:
```
3
Lattice="3.638 0.000 0.000 -1.819 6.112 -0.304 0.000 -0.938 4.755" Properties=species:S:1:pos:R:3 pbc="T T T"
Pt 0.000 0.000 0.000
Br 1.819 1.494 0.705
Br 0.000 3.681 3.747
```

Output
Formation energy from raw total energies, kJ per mole of atoms: -16.7
Total moment, μB/cell: 0.00